Record 1
A plane-wave DFT calculation with PBE was carried out for Pa3VGe5 after structural relaxation.

## Properties
**Fermi-level density of states**: 10.436 states/eV/f.u.
**Energy of formation**: -0.534 eV/atom
**Calculated total energy**: -7.28 eV/atom
**ρ**: 10241 kg/m³

Unit cell a=8.518 b=8.518 c=5.715 alpha=90.00 beta=90.00 gamma=120.00
Fractional positions:
Pa  0.000  0.386  0.250
Pa  0.000  0.614  0.750
Pa  0.386  0.000  0.250
Pa  0.386  0.386  0.750
Pa  0.614  0.000  0.750
Pa  0.614  0.614  0.250
V  0.000  0.000  0.000
V  0.000  0.000  0.500
Ge  0.000  0.257  0.750
Ge  0.000  0.743  0.250
Ge  0.257  0.000  0.750
Ge  0.257  0.257  0.250
Ge  0.333  0.667  0.000
Ge  0.333  0.667  0.500
Ge  0.667  0.333  0.000
Ge  0.667  0.333  0.500
Ge  0.743  0.000  0.250
Ge  0.743  0.743  0.750

***

Record 2
A plane-wave DFT calculation with PBE was carried out for Pa2VGe after structural relaxation.

## Properties
**Fermi-level density of states**: 5.038 states/eV/f.u.
**Energy of formation**: -0.177 eV/atom
**Calculated total energy**: -8.36 eV/atom
**Polymorph energy (0 for the lowest one)**: 0.0000 eV per atom
**ρ**: 12155 kg/m³

Unit cell a=4.286 b=4.286 c=4.356 alpha=90.00 beta=90.00 gamma=90.00
Fractional positions:
Pa  0.000  0.500  0.000
Pa  0.500  0.000  0.000
V  0.000  0.000  0.500
Ge  0.500  0.500  0.500

***

Record 3
A plane-wave DFT calculation with PBE was carried out for Pa4VGe8 after structural relaxation.

## Properties
**Fermi-level density of states**: 14.049 states/eV/f.u.
**Energy of formation**: -0.376 eV/atom
**Calculated total energy**: -6.84 eV/atom
**ρ**: 9609 kg/m³

Unit cell a=4.082 b=4.089 c=16.113 alpha=90.00 beta=90.00 gamma=90.00
Fractional positions:
Pa  0.000  0.000  0.000
Pa  0.000  0.500  0.481
Pa  0.500  0.000  0.775
Pa  0.500  0.500  0.279
V  0.000  0.500  0.704
Ge  0.000  0.000  0.322
Ge  0.000  0.000  0.615
Ge  0.000  0.500  0.140
Ge  0.000  0.500  0.853
Ge  0.500  0.000  0.139
Ge  0.500  0.000  0.437
Ge  0.500  0.500  0.615
Ge  0.500  0.500  0.954